An optimized crystal structure of LiCo2OF5, computed with GGA+U.

Lattice parameters (Å, degrees): 6.460 6.460 18.091 90.00 90.13 90.00
Space group Cc (No. 9)
Unique sites:
Li1 0.000 0.004 0.000 [4 per cell]
Li2 0.487 0.010 0.250 [4 per cell]
Co1 0.025 0.499 0.583 [4 per cell]
Co2 0.489 0.498 0.664 [4 per cell]
Co3 0.491 0.002 0.914 [4 per cell]
Co4 0.491 0.465 0.833 [4 per cell]
O1 0.296 0.498 0.589 [4 per cell]
O2 0.491 0.194 0.839 [4 per cell]
F1 0.180 0.000 0.245 [4 per cell]
F2 0.197 0.001 0.088 [4 per cell]
F3 0.200 0.003 0.915 [4 per cell]
F4 0.282 0.499 0.416 [4 per cell]
F5 0.299 0.499 0.744 [4 per cell]
F6 0.488 0.210 0.165 [4 per cell]
F7 0.490 0.189 0.495 [4 per cell]
F8 0.490 0.206 0.338 [4 per cell]
F9 0.490 0.207 0.666 [4 per cell]
F10 0.491 0.192 0.994 [4 per cell]

Calculated values
Raw total energy (eV per atom): -4.86
Relative energy among the computed polymorphs (kJ per mole of atoms): 0.0



An optimized crystal structure of LiCo2OF3, computed with GGA+U.

Lattice parameters (Å, degrees): 6.100 6.100 8.614 90.00 90.00 90.00
Space group P4_3 (No. 78)
Unique sites:
Li1 0.010 0.249 0.000 [4 per cell]
Co1 0.243 0.726 0.887 [4 per cell]
Co2 0.254 0.510 0.237 [4 per cell]
O1 0.254 0.473 0.011 [4 per cell]
F1 0.004 0.759 0.260 [4 per cell]
F2 0.022 0.248 0.250 [4 per cell]
F3 0.236 0.505 0.492 [4 per cell]

Calculated values
Raw total energy (eV per atom): -5.21
Relative energy among the computed polymorphs (kJ per mole of atoms): 2.7



An optimized crystal structure of LiCo2OF3, computed with GGA+U.

Lattice parameters (Å, degrees): 6.178 6.132 8.487 90.00 90.65 90.00
Space group P2 (No. 3)
Unique sites:
Li1 0.000 0.000 0.000 [1 per cell]
Li2 0.232 0.234 0.749 [2 per cell]
Li3 0.500 0.004 0.000 [1 per cell]
Co1 0.000 0.430 0.500 [1 per cell]
Co2 0.221 0.481 0.133 [2 per cell]
Co3 0.235 0.722 0.755 [2 per cell]
Co4 0.263 0.995 0.374 [2 per cell]
Co5 0.500 0.440 0.500 [1 per cell]
O1 0.021 0.494 0.734 [2 per cell]
O2 0.259 0.235 0.509 [2 per cell]
F1 0.008 0.982 0.762 [2 per cell]
F2 0.246 0.753 0.000 [2 per cell]
F3 0.248 0.218 0.997 [2 per cell]
F4 0.277 0.717 0.505 [2 per cell]
F5 0.475 0.966 0.766 [2 per cell]
F6 0.487 0.482 0.756 [2 per cell]

Calculated values
Raw total energy (eV per atom): -5.21
Relative energy among the computed polymorphs (kJ per mole of atoms): 3.5